Record 1
A plane-wave DFT calculation with meta-GGA SCAN was carried out for TlCu2Cl at its PBEsol-relaxed geometry.

extended XYZ file:
```
4
Lattice="0.000 3.352 3.352 3.352 0.000 3.352 3.352 3.352 0.000" Properties=species:S:1:pos:R:3 pbc="T T T"
Tl 0.000 0.000 0.000
Cu 3.352 3.352 3.352
Cu 5.028 5.028 5.028
Cl 1.676 1.676 1.676
```

Results
Symmetry: F-43m (216)



Record 2
A plane-wave DFT calculation with meta-GGA SCAN was carried out for TlCuCl2 at its PBEsol-relaxed geometry.

extended XYZ file:
```
4
Lattice="3.472 0.000 0.000 0.000 3.472 0.000 0.000 0.000 7.696" Properties=species:S:1:pos:R:3 pbc="T T T"
Tl 0.000 0.000 0.000
Cu 1.736 1.736 3.990
Cl 0.000 0.000 4.488
Cl 1.736 1.736 1.723
```

Results
Symmetry: P4mm (99)



| no. | electronic total energy (eV per atom) | formation energy without anion corrections (eV per atom) |
| --- | --- | --- |
| 1 | -27.187 | 0.497 |
| 2 | -26.501 | -0.623 |